Material: Sr2LaBr
Method: DFT, PBE
State: relaxed

- density (Mg/m³) = 4.2
- final energy (eV per cell) = -12.39
- magnetization (μB per cell) = 0.00
- volume (Å³ per cell) = 156.9

Cell: 3.846 3.846 10.603 Å, 90.00 90.00 90.00°
Atoms (fractional coordinates):
Sr1 0.000 0.000 0.219
Sr2 0.000 0.000 0.781
La1 0.500 0.500 0.500
Br1 0.500 0.500 0.000

Material: PrAsRu2N
Method: DFT, PBE
State: relaxed

- density (Mg/m³) = 8.8
- final energy (eV per cell) = -78.97
- magnetization (μB per cell) = 0.00
- volume (Å³ per cell) = 162.7

Cell: 6.020 6.020 7.340 Å, 90.00 90.00 142.28°
Atoms (fractional coordinates):
Pr1 0.043 0.957 0.750
Pr2 0.957 0.043 0.250
As1 0.231 0.769 0.250
As2 0.769 0.231 0.750
Ru1 0.338 0.662 0.552
Ru2 0.338 0.662 0.948
Ru3 0.662 0.338 0.052
Ru4 0.662 0.338 0.448
N1 0.500 0.500 0.000
N2 0.500 0.500 0.500

Material: ErPuNiPd
Method: DFT, PBE
State: relaxed

- density (Mg/m³) = 11.7
- E_form (eV/f.u.) = -1.509
- magnetization (μB per cell) = 5.54
- volume (Å³ per cell) = 81.8

Cell: 4.872 4.872 4.872 Å, 60.00 60.00 60.00°
Atoms (fractional coordinates):
Er1 0.000 0.000 0.000
Pu1 0.500 0.500 0.500
Ni1 0.250 0.250 0.250
Pd1 0.750 0.750 0.750

Material: Re2TeMo
Method: DFT, PBE
State: relaxed

- density (Mg/m³) = 14.6
- final energy (eV per cell) = -36.38
- magnetization (μB per cell) = 0.00
- volume (Å³ per cell) = 67.7

Cell: 3.042 4.160 5.350 Å, 90.00 90.27 90.00°
Atoms (fractional coordinates):
Re1 0.001 0.000 0.268
Re2 0.999 0.000 0.732
Te1 0.500 0.500 0.000
Mo1 0.500 0.500 0.500